# Li2TlOs

An optimized crystal structure of Li2TlOs (PBE-GGA, Alexandria via LeMat-Bulk).

Lattice parameters (Å, degrees): 4.358 4.358 4.358 60.00 60.00 60.00
Positions (direct):
Tl 0.500 0.500 0.500
Os 0.000 0.000 0.000
Li 0.250 0.250 0.250
Li 0.750 0.750 0.750

Total moment (Bohr magnetons per cell): 0.0
Space group: Fm-3m (225)
Total energy (eV/atom): -3.91
DFT formation energy (kJ/mol of formula units): 174